(1)
Material: Co2RhBr
Method: DFT, PBE
State: relaxed

Results
**Uncorrected formation energy**: 0.47 eV/atom
**Volume**: 17.1 Å³ per atom
**Raw total energy**: -5.336 eV per atom
**DOS at the Fermi energy**: 0.9472 states/eV/atom

Structure (extended XYZ):
```
4
Lattice="3.9448 -0.0093 0.0154 2.7283 2.8492 0.0154 2.0221 0.8606 6.0849" Properties=species:S:1:pos:R:3 pbc="T T T"
Br 1.6063 0.6836 1.3500
Co 2.0030 0.8525 5.6511
Co 6.6911 2.8476 4.7159
Rh 4.7642 2.0276 3.5416
```

***

(2)
Material: PrScPd2
Method: DFT, PBE
State: relaxed

Results
**Energy of formation**: -772 meV/atom
**Volume**: 22.3 Å³ per atom
**Raw total energy**: -6.146 eV per atom
**DOS at the Fermi energy**: 0.7559 states/eV/atom

Structure (extended XYZ):
```
4
Lattice="-4.1876 0.2100 -1.9648 -2.2896 -3.9002 -0.9932 -4.1990 -1.1421 3.3711" Properties=species:S:1:pos:R:3 pbc="T T T"
Pr -5.3381 -2.4161 0.2065
Sc 0.0000 0.0000 0.0000
Pd -8.2093 -3.6155 0.7417
Pd -2.4668 -1.2168 -0.3286
```

***

(3)
Material: Ca2LaScV
Method: DFT, PBE
State: relaxed

Results
**Energy of formation**: 576 meV/atom
**Volume**: 33.1 Å³ per atom
**Raw total energy**: -4.300 eV per atom
**DOS at the Fermi energy**: 1.0948 states/eV/atom

Structure (extended XYZ):
```
5
Lattice="-2.6963 2.1626 4.4972 1.6343 -3.9472 2.8779 4.6544 2.9332 1.3801" Properties=species:S:1:pos:R:3 pbc="T T T"
Sc 0.8171 -1.9736 1.4390
Ca 2.3272 1.4666 0.6900
Ca -1.3482 1.0813 2.2486
V 0.0000 0.0000 0.0000
La 1.7961 0.5743 4.3776
```

***

(4)
Material: Ce3ErTl3Se8
Method: DFT, PBE
State: relaxed

Results
**Uncorrected formation energy**: -1.42 eV/atom
**Volume**: 32.6 Å³ per atom
**Raw total energy**: -5.238 eV per atom
**DOS at the Fermi energy**: 0.9196 states/eV/atom

Structure (extended XYZ):
```
15
Lattice="-1.0196 -6.8328 4.9982 7.7761 2.1271 -2.7794 -3.8172 5.2973 6.4631" Properties=species:S:1:pos:R:3 pbc="T T T"
Ce -2.4184 -0.7678 5.7306
Ce 1.4697 0.2958 4.3409
Ce 1.9795 3.7122 1.8418
Er -1.9086 2.6486 3.2315
Tl 0.0000 0.0000 0.0000
Tl 3.8881 1.0636 -1.3897
Tl 3.3783 -2.3529 1.1094
Se 2.7220 0.8612 1.7325
Se 0.2174 -0.2696 6.9493
Se 2.2658 -2.5308 4.2759
Se 0.6736 3.1224 4.4059
Se -1.6988 -3.6138 5.6938
Se 4.6381 4.2054 2.9880
Se -1.1791 -0.1313 3.1464
Se 4.1185 0.7229 5.5355
```